No. 1
The following is a DFT calculation (PBE-GGA) of a geometry-optimized Pu2Th2SiIr4 structure.

The calculation puts the size of the total moment at 1.1737 μB/atom. The calculated total energy comes out at -176.525 eV per cell. The density of states at the Fermi level comes out at 35.1 states/eV per cell. The uncorrected formation energy is -0.432 eV/atom.

The space group is I4/mmm (No. 139) and the conventional cell measures 6.8441, 6.8441 and 8.2348 Å, with angles of 90.00, 90.00 and 90.00 degrees. The asymmetric unit holds Pu at (0.0000, 0.0000, 0.1674), Th at (0.0000, 0.5000, 0.2500), Si at (0.0000, 0.0000, 0.5000) and Ir at (0.2407, 0.2407, 0.5000).

No. 2
The following is a DFT calculation (PBE-GGA) of a geometry-optimized LaZrUN3 structure.

The calculation puts the size of the total moment at 0.1875 μB/atom. The calculated total energy comes out at -116.327 eV per cell. The density of states at the Fermi level comes out at 11.3 states/eV per cell. The uncorrected formation energy is -1.404 eV/atom.

The space group is P2_1/m (No. 11) and the conventional cell measures 6.0054, 3.4543 and 8.9633 Å, with angles of 90.00, 103.18 and 90.00 degrees. The asymmetric unit holds La at (0.1442, 0.2500, 0.1855), Zr at (0.3702, 0.2500, 0.8612), U at (0.2646, 0.7500, 0.5432), N at (0.0570, 0.2500, 0.6496), N at (0.2699, 0.7500, 0.9942) and N at (0.4651, 0.7500, 0.3569).

Question: What is the formula in the first record?
Answer: Pu2Th2SiIr4

Repeat the second record exactly.
The following is a DFT calculation (PBE-GGA) of a geometry-optimized LaZrUN3 structure.

The calculation puts the size of the total moment at 0.1875 μB/atom. The calculated total energy comes out at -116.327 eV per cell. The density of states at the Fermi level comes out at 11.3 states/eV per cell. The uncorrected formation energy is -1.404 eV/atom.

The space group is P2_1/m (No. 11) and the conventional cell measures 6.0054, 3.4543 and 8.9633 Å, with angles of 90.00, 103.18 and 90.00 degrees. The asymmetric unit holds La at (0.1442, 0.2500, 0.1855), Zr at (0.3702, 0.2500, 0.8612), U at (0.2646, 0.7500, 0.5432), N at (0.0570, 0.2500, 0.6496), N at (0.2699, 0.7500, 0.9942) and N at (0.4651, 0.7500, 0.3569).

Please write out number 1 again, unchanged.
The following is a DFT calculation (PBE-GGA) of a geometry-optimized Pu2Th2SiIr4 structure.

The calculation puts the size of the total moment at 1.1737 μB/atom. The calculated total energy comes out at -176.525 eV per cell. The density of states at the Fermi level comes out at 35.1 states/eV per cell. The uncorrected formation energy is -0.432 eV/atom.

The space group is I4/mmm (No. 139) and the conventional cell measures 6.8441, 6.8441 and 8.2348 Å, with angles of 90.00, 90.00 and 90.00 degrees. The asymmetric unit holds Pu at (0.0000, 0.0000, 0.1674), Th at (0.0000, 0.5000, 0.2500), Si at (0.0000, 0.0000, 0.5000) and Ir at (0.2407, 0.2407, 0.5000).